The following is a DFT calculation (GGA+U) of crystalline Rb2CaCoO4 at its relaxed geometry.

VASP energy (eV for the cell shown): -79.9
SG: Fddd
V (Å³/atom): 24.08

Lattice parameters (Å, degrees): 12.8464 11.6450 6.7097 84.27 64.42 31.31
Last column: nearest neighbours and their distance in Å.
Positions (direct):
Rb: 0.0600 0.0600 0.6900  4 O 3.11-3.24
Rb: 0.3100 0.3100 0.9400  4 O 3.11-3.24
Rb: 0.6900 0.6900 0.0600  4 O 3.11-3.24
Rb: 0.9400 0.9400 0.3100  4 O 3.11-3.24
Ca: 0.1250 0.1250 0.1250  4 O 2.20
Ca: 0.8750 0.8750 0.8750  4 O 2.20
Co: 0.3750 0.3750 0.3750  4 O 1.82
Co: 0.6250 0.6250 0.6250  4 O 1.82
O: 0.0437 0.6241 0.5283  1 Co 1.82
O: 0.3039 0.5283 0.6241  1 Co 1.82
O: 0.3759 0.9563 0.6961  1 Co 1.82
O: 0.4717 0.6961 0.9563  1 Co 1.82
O: 0.5283 0.3039 0.0437  1 Co 1.82
O: 0.6241 0.0437 0.3039  1 Co 1.82
O: 0.6961 0.4717 0.3759  1 Co 1.82
O: 0.9563 0.3759 0.4717  1 Co 1.82